A plane-wave DFT calculation with PBE-GGA was carried out for an optimized crystal structure of Mg4Pb5.

The size of the total moment comes out at 0.0 μB per formula unit. The energy relative to the lowest polymorph listed for this composition is 0.0224 eV/atom. The total DFT energy (no corrections) is -2.77 eV/atom. The value obtained for the density of states at the Fermi level is 0.64 states/eV per atom. As for the energy relative to the elements: -1 meV per atom. Its calculated density is 7662 kg/m3.

The structure belongs to space group P6_3/mcm (No. 193); the cell edges are 9.1678, 9.1678 and 6.7482 Å and the angles 90.00°, 90.00° and 120.00°. The inequivalent atoms are Mg at (0.0000, 0.0000, 0.0000), Mg at (0.0000, 0.3548, 0.2500), Pb at (0.0000, 0.3069, 0.7500) and Pb at (0.3333, 0.6667, 0.0000).

***

A plane-wave DFT calculation with PBE-GGA was carried out for an optimized crystal structure of MgPb2.

The size of the total moment comes out at 0.0 μB per formula unit. The energy relative to the lowest polymorph listed for this composition is 0.0509 eV/atom. The total DFT energy (no corrections) is -2.99 eV/atom. The value obtained for the density of states at the Fermi level is 0.44 states/eV per atom. As for the energy relative to the elements: 18 meV per atom. Its calculated density is 8489 kg/m3.

The structure belongs to space group P-62m (No. 189); the cell edges are 8.1659, 8.1659 and 4.4578 Å and the angles 90.00°, 90.00° and 120.00°. The inequivalent atoms are Mg at (0.0000, 0.0000, 0.0000), Mg at (0.3333, 0.6667, 0.5000), Pb at (0.0000, 0.2638, 0.5000) and Pb at (0.0000, 0.6089, 0.0000).

***

A plane-wave DFT calculation with PBE-GGA was carried out for an optimized crystal structure of MgPb2.

The size of the total moment comes out at 0.0 μB per formula unit. The energy relative to the lowest polymorph listed for this composition is 0.0666 eV/atom. The total DFT energy (no corrections) is -2.97 eV/atom. The value obtained for the density of states at the Fermi level is 0.41 states/eV per atom. As for the energy relative to the elements: 33 meV per atom. Its calculated density is 8423 kg/m3.

The structure belongs to space group P-3m1 (No. 164); the cell edges are 5.3150, 5.3150 and 3.5354 Å and the angles 90.00°, 90.00° and 120.00°. The inequivalent atoms are Mg at (0.0000, 0.0000, 0.0000) and Pb at (0.3333, 0.6667, 0.3058).

***

A plane-wave DFT calculation with PBE-GGA was carried out for an optimized crystal structure of MgPb2.

The size of the total moment comes out at 0.0 μB per formula unit. The energy relative to the lowest polymorph listed for this composition is 0.0256 eV/atom. The total DFT energy (no corrections) is -3.01 eV/atom. The value obtained for the density of states at the Fermi level is 0.19 states/eV per atom. As for the energy relative to the elements: -8 meV per atom. Its calculated density is 8465 kg/m3.

The structure belongs to space group P6_3/mmc (No. 194); the cell edges are 5.3250, 5.3250 and 7.0092 Å and the angles 90.00°, 90.00° and 120.00°. The inequivalent atoms are Mg at (0.3333, 0.6667, 0.2500), Pb at (0.0000, 0.0000, 0.0000) and Pb at (0.3333, 0.6667, 0.7500).

***

A plane-wave DFT calculation with PBE-GGA was carried out for an optimized crystal structure of Mg5Pb4.

The size of the total moment comes out at 0.0 μB per formula unit. The energy relative to the lowest polymorph listed for this composition is 0.0000 eV/atom. The total DFT energy (no corrections) is -2.57 eV/atom. The value obtained for the density of states at the Fermi level is 0.48 states/eV per atom. As for the energy relative to the elements: -33 meV per atom. Its calculated density is 6680 kg/m3.

The structure belongs to space group I4/mmm (No. 139); the cell edges are 10.0104, 10.0104 and 4.7146 Å and the angles 90.00°, 90.00° and 90.00°. The inequivalent atoms are Mg at (0.0000, 0.0000, 0.0000), Mg at (0.1630, 0.1630, 0.5000) and Pb at (0.0000, 0.3129, 0.0000).

***

A plane-wave DFT calculation with PBE-GGA was carried out for an optimized crystal structure of MgPb.

The size of the total moment comes out at 0.0 μB per formula unit. The total DFT energy (no corrections) is -2.16 eV/atom. The value obtained for the density of states at the Fermi level is 1.20 states/eV per atom. As for the energy relative to the elements: 488 meV per atom. Its calculated density is 5120 kg/m3.

The structure belongs to space group F-43m (No. 216); the cell edges are 6.6969, 6.6969 and 6.6969 Å and the angles 90.00°, 90.00° and 90.00°. The inequivalent atoms are Mg at (0.0000, 0.0000, 0.0000) and Pb at (0.2500, 0.2500, 0.2500).

***

A plane-wave DFT calculation with PBE-GGA was carried out for an optimized crystal structure of MgPb.

The size of the total moment comes out at 0.0 μB per formula unit. The total DFT energy (no corrections) is -2.64 eV/atom. The value obtained for the density of states at the Fermi level is 0.33 states/eV per atom. As for the energy relative to the elements: 15 meV per atom. Its calculated density is 6690 kg/m3.

The structure belongs to space group I4/mmm (No. 139); the cell edges are 10.0867, 10.0867 and 4.5182 Å and the angles 90.00°, 90.00° and 90.00°. The inequivalent atoms are Mg at (0.0000, 0.3387, 0.0000) and Pb at (0.1659, 0.1659, 0.5000).

***

A plane-wave DFT calculation with PBE-GGA was carried out for an optimized crystal structure of MgPdPb3.

The size of the total moment comes out at 0.0 μB per formula unit. The energy relative to the lowest polymorph listed for this composition is 0.0000 eV/atom. The total DFT energy (no corrections) is -3.46 eV/atom. The value obtained for the density of states at the Fermi level is 0.26 states/eV per atom. As for the energy relative to the elements: 125 meV per atom. Its calculated density is 7959 kg/m3.

The structure belongs to space group Pm-3m (No. 221); the cell edges are 5.3943, 5.3943 and 5.3943 Å and the angles 90.00°, 90.00° and 90.00°. The inequivalent atoms are Mg at (0.0000, 0.0000, 0.0000), Pd at (0.5000, 0.5000, 0.5000) and Pb at (0.0000, 0.5000, 0.5000).

***

The lowest total DFT energy (no corrections) belongs to which entry?
MgPdPb3